[1]
NbCuSCl2 after structural relaxation, computed with PBE.

Cell and atoms, written as POSCAR:
```
NbCuSCl2
1.0
-4.794 2.415 -0.573
-0.954 -2.603 -2.984
-2.135 -3.378 3.629
S Nb Cl Cu
1 1 2 1
direct
0.000 0.000 0.000
0.500 0.500 0.500
0.500 0.000 0.000
0.000 0.000 0.500
0.000 0.500 0.000
```

## Properties
The crystal system is tetragonal.

[2]
NbCuSCl2 after structural relaxation, computed with PBE.

Cell and atoms, written as POSCAR:
```
NbCuSCl2
1.0
-1.417 -1.835 -4.299
2.731 -3.970 0.795
-3.737 -2.141 2.146
Cu Cl Nb S
1 2 1 1
direct
0.500 0.500 0.500
0.500 0.000 0.000
0.000 0.500 0.000
0.000 0.000 0.000
0.000 0.000 0.500
```

## Properties
The crystal system is tetragonal.

Number 1: formation energy without anion corrections 0.7939 eV per atom, electronic total energy -3.60 eV per atom. Number 2: formation energy without anion corrections -0.1406 eV per atom, electronic total energy -4.54 eV per atom.